# 1
Compound: Li5Au
Source: the Alexandria database
Functional: meta-GGA SCAN
Structure: PBEsol geometry

Calculated values
The formation energy is -193 kJ/mol of formula units. The uncorrected energy comes out at -13.851 eV per atom. Its space-group type is C2/m (12).

Structure (POSCAR):
```
Li5Au
1.0
4.373 -2.049 0.000
4.373 2.049 0.000
-1.640 0.000 5.411
Li Au
5 1
direct
0.000 0.000 0.000
0.328 0.328 0.655
0.350 0.350 0.198
0.650 0.650 0.802
0.672 0.672 0.345
0.000 0.000 0.500
```

=====

# 2
Compound: Li2Au
Source: the Alexandria database
Functional: meta-GGA SCAN
Structure: PBEsol geometry

Calculated values
The formation energy is -131 kJ/mol of formula units. The uncorrected energy comes out at -25.098 eV per atom. Its space-group type is I4_1/amd (141).

Structure (POSCAR):
```
Li2Au
1.0
-1.452 1.452 12.013
1.452 -1.452 12.013
1.452 1.452 -12.013
Li Au
4 2
direct
0.305 0.555 0.750
0.445 0.695 0.750
0.555 0.305 0.250
0.695 0.445 0.250
0.125 0.875 0.250
0.875 0.125 0.750
```

=====

# 3
Compound: Li2Au
Source: the Alexandria database
Functional: meta-GGA SCAN
Structure: PBEsol geometry

Calculated values
The formation energy is -88 kJ/mol of formula units. The uncorrected energy comes out at -24.950 eV per atom. Its space-group type is P-3m1 (164).

Structure (POSCAR):
```
Li2Au
1.0
2.904 0.000 0.000
-1.452 2.515 0.000
0.000 0.000 6.762
Li Au
2 1
direct
0.333 0.667 0.309
0.667 0.333 0.691
0.000 0.000 0.000
```

=====

What is the uncorrected energy in the third record?
-24.950 eV per atom

=====

Which value of uncorrected energy does entry 2 give?
-25.098 eV per atom

=====

uncorrected energy of number 1 (Li5Au)?
-13.851 eV per atom